Entry 1:
A plane-wave DFT calculation with GGA-PBEsol was carried out for a relaxed K3ReBr crystal.

The energy above the most stable polymorph in this dataset comes out at 0.000 eV per atom. The formation energy without anion corrections comes out at 0.8173 eV/atom.

a = 6.064 Å, b = 6.064 Å, c = 6.064 Å
α = 90.00°, β = 90.00°, γ = 90.00°
Space group Pm-3m (No. 221)
Symmetry-distinct sites (fractional):
K 0.000 0.000 0.500 (multiplicity 3)
Re 0.500 0.500 0.500 (multiplicity 1)
Br 0.000 0.000 0.000 (multiplicity 1)

Entry 2:
A plane-wave DFT calculation with GGA-PBEsol was carried out for a relaxed Mn2NiCl crystal.

The energy above the most stable polymorph in this dataset comes out at 0.386 eV per atom. The formation energy without anion corrections comes out at 0.6268 eV/atom.

a = 5.918 Å, b = 5.918 Å, c = 5.918 Å
α = 90.00°, β = 90.00°, γ = 90.00°
Space group F-43m (No. 216)
Symmetry-distinct sites (fractional):
Mn 0.000 0.000 0.000 (multiplicity 4)
Mn 0.250 0.250 0.250 (multiplicity 4)
Ni 0.000 0.000 0.500 (multiplicity 4)
Cl 0.250 0.250 0.750 (multiplicity 4)

Entry 3:
A plane-wave DFT calculation with GGA-PBEsol was carried out for a relaxed TaSbRh2 crystal.

The formation energy without anion corrections comes out at -0.2848 eV/atom.

a = 3.962 Å, b = 3.962 Å, c = 8.134 Å
α = 90.00°, β = 90.00°, γ = 90.00°
Space group I-4m2 (No. 119)
Symmetry-distinct sites (fractional):
Ta 0.000 0.000 0.000 (multiplicity 2)
Sb 0.000 0.500 0.750 (multiplicity 2)
Rh 0.000 0.000 0.500 (multiplicity 2)
Rh 0.000 0.500 0.250 (multiplicity 2)

Entry 4:
A plane-wave DFT calculation with GGA-PBEsol was carried out for a relaxed K2LiRhF6 crystal.

The formation energy without anion corrections comes out at -2.4291 eV/atom.

a = 8.008 Å, b = 8.008 Å, c = 8.008 Å
α = 90.00°, β = 90.00°, γ = 90.00°
Space group Fm-3m (No. 225)
Symmetry-distinct sites (fractional):
K 0.250 0.250 0.250 (multiplicity 8)
Li 0.000 0.000 0.000 (multiplicity 4)
Rh 0.000 0.000 0.500 (multiplicity 4)
F 0.000 0.000 0.253 (multiplicity 24)

Entry 5:
A plane-wave DFT calculation with GGA-PBEsol was carried out for a relaxed CoTeW2 crystal.

The formation energy without anion corrections comes out at 0.6212 eV/atom.

a = 3.386 Å, b = 4.612 Å, c = 8.339 Å
α = 90.00°, β = 90.00°, γ = 90.00°
Space group Cmm2 (No. 35)
Symmetry-distinct sites (fractional):
Co 0.000 0.000 0.000 (multiplicity 2)
Te 0.000 0.500 0.249 (multiplicity 2)
W 0.000 0.000 0.549 (multiplicity 2)
W 0.000 0.500 0.794 (multiplicity 2)

Entry 6:
A plane-wave DFT calculation with GGA-PBEsol was carried out for a relaxed CuSeN3 crystal.

The formation energy without anion corrections comes out at 2.0140 eV/atom.

a = 3.717 Å, b = 3.717 Å, c = 3.717 Å
α = 90.00°, β = 90.00°, γ = 90.00°
Space group Pm-3m (No. 221)
Symmetry-distinct sites (fractional):
Cu 0.000 0.000 0.000 (multiplicity 1)
Se 0.500 0.500 0.500 (multiplicity 1)
N 0.000 0.500 0.500 (multiplicity 3)

Number 1 is which compound? K3ReBr

What is the formula in the third record? TaSbRh2

Please write out number 6 again, unchanged.
A plane-wave DFT calculation with GGA-PBEsol was carried out for a relaxed CuSeN3 crystal.

The formation energy without anion corrections comes out at 2.0140 eV/atom.

a = 3.717 Å, b = 3.717 Å, c = 3.717 Å
α = 90.00°, β = 90.00°, γ = 90.00°
Space group Pm-3m (No. 221)
Symmetry-distinct sites (fractional):
Cu 0.000 0.000 0.000 (multiplicity 1)
Se 0.500 0.500 0.500 (multiplicity 1)
N 0.000 0.500 0.500 (multiplicity 3)

Which of these has the highest formation energy without anion corrections? CuSeN3